[1]
First-principles (PBE) data for crystalline Nd2Tl3Sn3 at its relaxed geometry, as listed in Alexandria.

Lattice parameters (Å, degrees): 4.7103 4.7563 9.9053 90.00 90.00 90.00
Closest atoms and distances in Å follow each position.
Fractional positions:
Nd1 0.0000 0.0000 0.2400  6 Sn 3.35-3.49, 6 Tl 3.35-3.51
Nd2 0.0000 0.0000 0.7600  6 Sn 3.35-3.49, 6 Tl 3.35-3.51
Tl1 0.0000 0.5000 0.5000  4 Sn 3.35, 4 Tl 3.42, 4 Nd 3.51
Tl2 0.5000 0.5000 0.2501  4 Nd 3.35, 2 Tl 3.42, 6 Sn 3.42-3.43
Tl3 0.5000 0.5000 0.7499  4 Nd 3.35, 2 Tl 3.42, 6 Sn 3.42-3.43
Sn1 0.0000 0.5000 0.0000  4 Sn 3.35, 4 Nd 3.36, 4 Tl 3.42
Sn2 0.5000 0.0000 0.0000  4 Nd 3.35, 4 Sn 3.35, 4 Tl 3.43
Sn3 0.5000 0.0000 0.5000  8 Tl 3.35-3.43, 4 Nd 3.49

D(E_F) (states/eV/atom): 0.5065
Calculated total energy (eV per atom): -3.99
Energy of formation (eV per atom): -0.41

---

[2]
First-principles (PBE) data for crystalline NdTmTlSn at its relaxed geometry, as listed in Alexandria.

Lattice parameters (Å, degrees): 7.6489 7.6489 7.6489 90.00 90.00 90.00
Closest atoms and distances in Å follow each position.
Fractional positions:
Nd1 0.0000 0.0000 0.0000  4 Tl 3.31, 4 Sn 3.31
Nd2 0.0000 0.5000 0.5000  4 Tl 3.31, 4 Sn 3.31
Nd3 0.5000 0.0000 0.5000  4 Tl 3.31, 4 Sn 3.31
Nd4 0.5000 0.5000 0.0000  4 Tl 3.31, 4 Sn 3.31
Tm1 0.0000 0.0000 0.5000  4 Tl 3.31, 4 Sn 3.31
Tm2 0.0000 0.5000 0.0000  4 Tl 3.31, 4 Sn 3.31
Tm3 0.5000 0.0000 0.0000  4 Tl 3.31, 4 Sn 3.31
Tm4 0.5000 0.5000 0.5000  4 Tl 3.31, 4 Sn 3.31
Tl1 0.2500 0.2500 0.2500  4 Nd 3.31, 4 Tm 3.31
Tl2 0.2500 0.7500 0.7500  4 Nd 3.31, 4 Tm 3.31
Tl3 0.7500 0.2500 0.7500  4 Nd 3.31, 4 Tm 3.31
Tl4 0.7500 0.7500 0.2500  4 Nd 3.31, 4 Tm 3.31
Sn1 0.2500 0.2500 0.7500  4 Nd 3.31, 4 Tm 3.31
Sn2 0.2500 0.7500 0.2500  4 Nd 3.31, 4 Tm 3.31
Sn3 0.7500 0.2500 0.2500  4 Nd 3.31, 4 Tm 3.31
Sn4 0.7500 0.7500 0.7500  4 Nd 3.31, 4 Tm 3.31

D(E_F) (states/eV/atom): 0.8185
Calculated total energy (eV per atom): -4.35
Energy of formation (eV per atom): -0.44

---

[3]
First-principles (PBE) data for crystalline NdYTlSn at its relaxed geometry, as listed in Alexandria.

Lattice parameters (Å, degrees): 7.6899 7.6899 7.6899 90.00 90.00 90.00
Closest atoms and distances in Å follow each position.
Fractional positions:
Nd1 0.0000 0.0000 0.0000  4 Sn 3.33, 4 Tl 3.33
Nd2 0.0000 0.5000 0.5000  4 Sn 3.33, 4 Tl 3.33
Nd3 0.5000 0.0000 0.5000  4 Sn 3.33, 4 Tl 3.33
Nd4 0.5000 0.5000 0.0000  4 Sn 3.33, 4 Tl 3.33
Y1 0.0000 0.0000 0.5000  4 Tl 3.33, 4 Sn 3.33
Y2 0.0000 0.5000 0.0000  4 Tl 3.33, 4 Sn 3.33
Y3 0.5000 0.0000 0.0000  4 Tl 3.33, 4 Sn 3.33
Y4 0.5000 0.5000 0.5000  4 Tl 3.33, 4 Sn 3.33
Tl1 0.2500 0.2500 0.2500  4 Nd 3.33, 4 Y 3.33
Tl2 0.2500 0.7500 0.7500  4 Nd 3.33, 4 Y 3.33
Tl3 0.7500 0.2500 0.7500  4 Nd 3.33, 4 Y 3.33
Tl4 0.7500 0.7500 0.2500  4 Nd 3.33, 4 Y 3.33
Sn1 0.2500 0.2500 0.7500  4 Y 3.33, 4 Nd 3.33
Sn2 0.2500 0.7500 0.2500  4 Y 3.33, 4 Nd 3.33
Sn3 0.7500 0.2500 0.2500  4 Y 3.33, 4 Nd 3.33
Sn4 0.7500 0.7500 0.7500  4 Y 3.33, 4 Nd 3.33

D(E_F) (states/eV/atom): 0.7039
Calculated total energy (eV per atom): -4.89
Energy of formation (eV per atom): -0.49

---

[4]
First-principles (PBE) data for crystalline NdTm3Sn3 at its relaxed geometry, as listed in Alexandria.

Lattice parameters (Å, degrees): 9.1268 9.1268 5.3803 90.00 90.00 120.00
Closest atoms and distances in Å follow each position.
Fractional positions:
Nd1 0.3333 0.6667 0.2500  9 Sn 3.31-3.48, 3 Tm 3.55
Nd2 0.6667 0.3333 0.7500  9 Sn 3.31-3.48, 3 Tm 3.55
Tm1 0.0047 0.2365 0.2500  4 Sn 3.00-3.30
Tm2 0.2319 0.9953 0.2500  4 Sn 3.00-3.30
Tm3 0.2365 0.2319 0.7500  4 Sn 3.00-3.30
Tm4 0.7635 0.7681 0.2500  4 Sn 3.00-3.30
Tm5 0.7681 0.0047 0.7500  4 Sn 3.00-3.30
Tm6 0.9953 0.7635 0.7500  4 Sn 3.00-3.30
Sn1 0.0731 0.4472 0.7500  4 Tm 3.00-3.30, 1 Nd 3.31, 2 Sn 3.35
Sn2 0.3741 0.9269 0.7500  4 Tm 3.00-3.30, 1 Nd 3.31, 2 Sn 3.35
Sn3 0.4472 0.3741 0.2500  4 Tm 3.00-3.30, 1 Nd 3.31, 2 Sn 3.35
Sn4 0.5528 0.6259 0.7500  4 Tm 3.00-3.30, 1 Nd 3.31, 2 Sn 3.35
Sn5 0.6259 0.0731 0.2500  4 Tm 3.00-3.30, 1 Nd 3.31, 2 Sn 3.35
Sn6 0.9269 0.5528 0.2500  4 Tm 3.00-3.30, 1 Nd 3.31, 2 Sn 3.35

D(E_F) (states/eV/atom): 1.0670
Calculated total energy (eV per atom): -4.85
Energy of formation (eV per atom): -0.53

---

[5]
First-principles (PBE) data for crystalline Nd6TmSn at its relaxed geometry, as listed in Alexandria.

Lattice parameters (Å, degrees): 5.0072 5.0072 10.2979 90.00 90.00 90.00
Closest atoms and distances in Å follow each position.
Fractional positions:
Nd1 0.0000 0.0000 0.0000  8 Nd 3.53, 4 Sn 3.54
Nd2 0.0000 0.0000 0.5000  4 Tm 3.54, 8 Nd 3.65
Nd3 0.0000 0.5000 0.2419  2 Sn 3.53, 8 Nd 3.53-3.65, 2 Tm 3.65
Nd4 0.0000 0.5000 0.7581  2 Sn 3.53, 8 Nd 3.53-3.65, 2 Tm 3.65
Nd5 0.5000 0.0000 0.2419  2 Sn 3.53, 8 Nd 3.53-3.65, 2 Tm 3.65
Nd6 0.5000 0.0000 0.7581  2 Sn 3.53, 8 Nd 3.53-3.65, 2 Tm 3.65
Tm1 0.5000 0.5000 0.5000  12 Nd 3.54-3.65
Sn1 0.5000 0.5000 0.0000  12 Nd 3.53-3.54

D(E_F) (states/eV/atom): 0.9862
Calculated total energy (eV per atom): -4.83
Energy of formation (eV per atom): -0.20

---

[6]
First-principles (PBE) data for crystalline Nd4Tm3Sn4 at its relaxed geometry, as listed in Alexandria.

Lattice parameters (Å, degrees): 10.8334 10.8334 10.8334 161.20 127.51 56.26
Closest atoms and distances in Å follow each position.
Fractional positions:
Nd1 0.0133 0.8375 0.1757  4 Sn 3.26-3.31, 3 Nd 3.37-3.54
Nd2 0.3382 0.1625 0.1757  4 Sn 3.26-3.31, 3 Nd 3.37-3.54
Nd3 0.6618 0.8375 0.8243  4 Sn 3.26-3.31, 3 Nd 3.37-3.54
Nd4 0.9867 0.1625 0.8243  4 Sn 3.26-3.31, 3 Nd 3.37-3.54
Tm1 0.0000 0.5000 0.5000  4 Sn 3.22, 2 Tm 3.54
Tm2 0.4101 0.4101 0.0000  6 Sn 3.09-3.24, 1 Tm 3.44
Tm3 0.5899 0.5899 0.0000  6 Sn 3.09-3.24, 1 Tm 3.44
Sn1 0.2778 0.7778 0.5000  2 Tm 3.09, 6 Nd 3.29-3.31
Sn2 0.2803 0.0000 0.2803  6 Tm 3.22-3.24, 2 Nd 3.26, 2 Sn 3.54
Sn3 0.7197 0.0000 0.7197  6 Tm 3.22-3.24, 2 Nd 3.26, 2 Sn 3.54
Sn4 0.7222 0.2222 0.5000  2 Tm 3.09, 6 Nd 3.29-3.31

D(E_F) (states/eV/atom): 0.8539
Calculated total energy (eV per atom): -4.95
Energy of formation (eV per atom): -0.54

---

[7]
First-principles (PBE) data for crystalline Nd9TmSn2 at its relaxed geometry, as listed in Alexandria.

Lattice parameters (Å, degrees): 4.9854 4.9854 15.2833 90.00 90.00 90.00
Closest atoms and distances in Å follow each position.
Fractional positions:
Nd1 0.0000 0.0000 0.0000  4 Tm 3.53, 8 Nd 3.65
Nd2 0.0000 0.0000 0.3384  8 Nd 3.51-3.53, 4 Sn 3.53
Nd3 0.0000 0.0000 0.6616  8 Nd 3.51-3.53, 4 Sn 3.53
Nd4 0.0000 0.5000 0.1745  2 Sn 3.52, 8 Nd 3.53-3.65, 2 Tm 3.65
Nd5 0.0000 0.5000 0.5000  8 Nd 3.51-3.53, 4 Sn 3.52
Nd6 0.0000 0.5000 0.8255  2 Sn 3.52, 8 Nd 3.53-3.65, 2 Tm 3.65
Nd7 0.5000 0.0000 0.1745  2 Sn 3.52, 8 Nd 3.53-3.65, 2 Tm 3.65
Nd8 0.5000 0.0000 0.5000  8 Nd 3.51-3.53, 4 Sn 3.52
Nd9 0.5000 0.0000 0.8255  2 Sn 3.52, 8 Nd 3.53-3.65, 2 Tm 3.65
Tm1 0.5000 0.5000 0.0000  12 Nd 3.53-3.65
Sn1 0.5000 0.5000 0.3375  12 Nd 3.52-3.53
Sn2 0.5000 0.5000 0.6625  12 Nd 3.52-3.53

D(E_F) (states/eV/atom): 0.9753
Calculated total energy (eV per atom): -4.90
Energy of formation (eV per atom): -0.28

---

[8]
First-principles (PBE) data for crystalline Nd5TmSn4 at its relaxed geometry, as listed in Alexandria.

Lattice parameters (Å, degrees): 8.7199 8.7199 7.2747 90.83 90.83 36.04
Closest atoms and distances in Å follow each position.
Fractional positions:
Nd1 0.0000 0.0000 0.0000  6 Sn 3.29-3.42, 2 Tm 3.64
Nd2 0.3329 0.3329 0.4936  5 Sn 3.18-3.38
Nd3 0.3345 0.3345 0.0017  5 Sn 3.23-3.40, 1 Nd 3.58
Nd4 0.6655 0.6655 0.9983  5 Sn 3.23-3.40, 1 Nd 3.58
Nd5 0.6671 0.6671 0.5064  5 Sn 3.18-3.38
Tm1 0.0000 0.0000 0.5000  6 Sn 3.22-3.36
Sn1 0.1728 0.1728 0.7481  7 Nd 3.22-3.42, 1 Tm 3.36
Sn2 0.4924 0.4924 0.7407  6 Nd 3.18-3.40, 2 Tm 3.22, 1 Sn 3.52
Sn3 0.5076 0.5076 0.2593  6 Nd 3.18-3.40, 2 Tm 3.22, 1 Sn 3.52
Sn4 0.8272 0.8272 0.2519  7 Nd 3.22-3.42, 1 Tm 3.36

D(E_F) (states/eV/atom): 0.6364
Calculated total energy (eV per atom): -4.97
Energy of formation (eV per atom): -0.54

---

- What is the formula in the fourth record?
  NdTm3Sn3

---

- Which formula does entry 6 have?
  Nd4Tm3Sn4